VASP calculation (PBE) on a relaxed structure of Li2Pm3Ga4.

a = 10.7344 Å, b = 4.6311 Å, c = 8.8108 Å
α = 90.00°, β = 115.33°, γ = 90.00°
Space group C2/m (No. 12)
Inequivalent atoms, fractional coordinates:
Li: 0.1012 0.0000 0.2708
Pm: 0.0000 0.5000 0.0000
Pm: 0.1702 0.0000 0.6596
Ga: 0.0382 0.5000 0.3737
Ga: 0.2373 0.0000 0.0748

Calculated values
Formation energy (kcal/mol of atoms): -11.21
Total moment (μB per formula unit): 0.00